Crystalline InPbNO2 at its relaxed geometry, computed with PBE.

Output
* E_tot: -23.0 eV for the cell shown
* density: 7.69 g cm⁻³
* formation energy without anion corrections: 0.345 eV per atom
* SG: P4/mmm

Cell lengths 4.2196, 4.2196, 4.4645 Å; angles 90.00, 90.00, 90.00 degrees
Atoms (fractional coordinates):
Pb: 0.0000 0.0000 0.0000
O: 0.5000 0.0000 0.0000
In: 0.5000 0.5000 0.5000
O: 0.0000 0.5000 0.0000
N: 0.0000 0.0000 0.5000